Record 1
Below is a relaxed La3Tl5 crystal, with properties calculated at the PBE-GGA level.

Cell and atoms, written as extended XYZ:
```
16
Lattice="2.527 2.152 5.931 -3.384 5.469 -2.197 -8.913 -3.481 5.061" Properties=species:S:1:pos:R:3 pbc="T T T"
La -7.007 0.262 5.203
La -2.762 3.878 3.591
La 1.316 2.832 4.265
La -3.141 1.091 6.795
La -6.629 3.049 1.999
La -2.172 4.789 -0.532
Tl -9.106 1.985 7.432
Tl -0.663 2.155 1.362
Tl -4.313 0.730 3.434
Tl -7.536 4.964 7.506
Tl -6.018 2.106 8.214
Tl -3.752 2.035 0.580
Tl -8.573 3.540 4.700
Tl -5.456 3.411 5.360
Tl -2.233 -0.824 1.288
Tl -1.196 0.601 4.094
```

Properties
E: -3.75 eV/atom
offset from the most stable computed form: 0.00 eV/f.u.
symmetry: Cmcm (63)


Record 2
Below is a relaxed La6Tl5 crystal, with properties calculated at the PBE-GGA level.

Cell and atoms, written as extended XYZ:
```
11
Lattice="5.338 0.006 -1.652 -0.913 7.291 -2.924 0.052 -0.426 9.615" Properties=species:S:1:pos:R:3 pbc="T T T"
Tl -0.456 3.645 -1.462
Tl 2.950 4.698 0.100
Tl 1.526 2.172 4.939
Tl 1.050 5.789 3.412
Tl 3.427 1.082 1.627
La 3.961 4.046 3.362
La 2.449 1.762 -1.532
La 4.429 0.304 4.863
La 1.976 5.534 -3.044
La 0.047 6.567 0.176
La 0.516 2.825 1.677
```

Properties
E: -4.11 eV/atom
symmetry: Immm (71)


> What is the E in the second record?

-4.11 eV/atom